Computed, not measured: YHg3Pd after structural relaxation at the PBE level of DFT.

a = 5.140 Å, b = 5.140 Å, c = 5.140 Å
α = 90.00°, β = 90.00°, γ = 90.00°
Element x y z (fractional)
Y (0.000, 0.000, 0.000)
Hg (0.000, 0.500, 0.500)
Hg (0.500, 0.000, 0.500)
Hg (0.500, 0.500, 0.000)
Pd (0.500, 0.500, 0.500)

Summary:
- polymorph energy (0 for the lowest one) (meV/atom) = 413
- crystal system = cubic
- SG = Pm-3m (221)
- energy of formation (eV/f.u.) = 0.2

***

Computed, not measured: TaGe2Au2 after structural relaxation at the PBE level of DFT.

a = 7.390 Å, b = 7.390 Å, c = 3.281 Å
α = 90.00°, β = 90.00°, γ = 90.00°
Element x y z (fractional)
Ta (0.000, 0.000, 0.000)
Ta (0.500, 0.500, 0.000)
Ge (0.158, 0.342, 0.000)
Ge (0.342, 0.842, 0.000)
Ge (0.658, 0.158, 0.000)
Ge (0.842, 0.658, 0.000)
Au (0.144, 0.644, 0.500)
Au (0.356, 0.144, 0.500)
Au (0.644, 0.856, 0.500)
Au (0.856, 0.356, 0.500)

Summary:
- crystal system = tetragonal
- SG = P4/mbm (127)
- energy of formation (eV/f.u.) = 1.0

***

Computed, not measured: FeGe2 after structural relaxation at the PBE level of DFT.

a = 4.847 Å, b = 4.847 Å, c = 4.847 Å
α = 105.12°, β = 105.12°, γ = 118.57°
Element x y z (fractional)
Fe (0.250, 0.250, 0.000)
Fe (0.750, 0.750, 0.000)
Ge (0.156, 0.656, 0.813)
Ge (0.344, 0.156, 0.500)
Ge (0.656, 0.844, 0.500)
Ge (0.844, 0.344, 0.187)

Summary:
- crystal system = tetragonal
- SG = I4/mcm (140)
- energy of formation (eV/f.u.) = -0.2

***

DOS at the Fermi energy for the records above, in order: 1.001; 0.586; 0.467 states/eV/atom